Record 1
The following is a PBE-GGA calculation of Li3Cd after structural relaxation, from Alexandria via LeMat-Bulk.

a = 10.1454 Å, b = 10.1454 Å, c = 10.1454 Å
α = 17.16°, β = 17.16°, γ = 17.16°
Last column: nearest neighbours and their distance in Å.
Fractional coordinates of all 4 atoms:
Li 0.7496 0.7496 0.7496  9 Li 3.03-3.06, 3 Cd 3.04
Li 0.5000 0.5000 0.5000  12 Li 3.03-3.06
Li 0.2504 0.2504 0.2504  9 Li 3.03-3.06, 3 Cd 3.04
Cd 0.0000 0.0000 0.0000  6 Cd 3.03, 6 Li 3.04

- Symmetry: R-3m, No. 166
- Size of the total moment: 0.00 μB per cell
- ΔE_f: -0.0807 eV/atom

Record 2
The following is a PBE-GGA calculation of Li8Cd after structural relaxation, from Alexandria via LeMat-Bulk.

a = 4.3217 Å, b = 6.6820 Å, c = 6.6820 Å
α = 84.00°, β = 71.13°, γ = 71.13°
Last column: nearest neighbours and their distance in Å.
Fractional coordinates of all 9 atoms:
Li 0.3378 0.0000 0.3243  10 Li 2.90-3.10, 2 Cd 2.98
Li 0.6622 0.0000 0.6757  10 Li 2.90-3.10, 2 Cd 2.98
Li 0.6697 0.3303 0.3303  1 Cd 2.95, 11 Li 3.01-3.05
Li 0.3378 0.3243 0.0000  10 Li 2.90-3.10, 2 Cd 2.98
Li 0.0000 0.3303 0.6697  1 Cd 2.95, 11 Li 3.01-3.05
Li 0.6622 0.6757 0.0000  10 Li 2.90-3.10, 2 Cd 2.98
Li 0.3303 0.6697 0.6697  1 Cd 2.95, 11 Li 3.01-3.05
Li 0.0000 0.6697 0.3303  1 Cd 2.95, 11 Li 3.01-3.05
Cd 0.0000 0.0000 0.0000  12 Li 2.95-2.98

- Symmetry: I4/mmm, No. 139
- Size of the total moment: 0.00 μB per cell
- ΔE_f: -0.0755 eV/atom

Record 3
The following is a PBE-GGA calculation of Li13Cd3 after structural relaxation, from Alexandria via LeMat-Bulk.

a = 6.0166 Å, b = 6.0166 Å, c = 8.3158 Å
α = 90.00°, β = 90.00°, γ = 90.38°
Last column: nearest neighbours and their distance in Å.
Fractional coordinates of all 16 atoms:
Li 0.5032 0.0040 0.2474  3 Cd 2.93-3.02, 9 Li 2.96-3.04
Li 0.5017 0.4983 0.2496  1 Cd 2.91, 11 Li 2.97-3.04
Li 0.9960 0.4968 0.2474  3 Cd 2.93-3.02, 9 Li 2.96-3.04
Li 0.7576 0.7575 0.0000  8 Li 2.93-3.08, 4 Cd 2.94-3.02
Li 0.2425 0.2424 0.0000  8 Li 2.93-3.08, 4 Cd 2.94-3.02
Li 0.2450 0.7550 0.0000  10 Li 2.93-3.08, 2 Cd 2.94
Li 0.5032 0.0040 0.7526  3 Cd 2.93-3.02, 9 Li 2.96-3.04
Li 0.5017 0.4983 0.7504  1 Cd 2.91, 11 Li 2.97-3.04
Li 0.9960 0.4968 0.7526  3 Cd 2.93-3.02, 9 Li 2.96-3.04
Li 0.7586 0.2414 0.5000  10 Li 2.92-3.09, 2 Cd 2.94
Li 0.7559 0.7554 0.5000  2 Cd 2.92, 10 Li 2.92-3.09
Li 0.2446 0.2441 0.5000  2 Cd 2.92, 10 Li 2.92-3.09
Li 0.2438 0.7562 0.5000  2 Cd 2.90, 10 Li 2.94-3.08
Cd 0.0045 0.9955 0.2522  11 Li 2.90-3.02, 1 Cd 3.08
Cd 0.7410 0.2590 0.0000  10 Li 2.91-3.02, 2 Cd 3.08
Cd 0.0045 0.9955 0.7478  11 Li 2.90-3.02, 1 Cd 3.08

- Symmetry: Amm2, No. 38
- Size of the total moment: 0.00 μB per cell
- ΔE_f: -0.1263 eV/atom

Record 4
The following is a PBE-GGA calculation of Li2Cd after structural relaxation, from Alexandria via LeMat-Bulk.

a = 5.3090 Å, b = 5.3090 Å, c = 5.3090 Å
α = 60.00°, β = 60.00°, γ = 60.00°
Last column: nearest neighbours and their distance in Å.
Fractional coordinates of all 6 atoms:
Li 0.1250 0.6250 0.6250  6 Li 2.65
Li 0.6250 0.1250 0.6250  6 Li 2.65
Li 0.6250 0.6250 0.6250  6 Li 2.65
Li 0.6250 0.6250 0.1250  6 Li 2.65
Cd 0.0000 0.0000 0.0000  12 Li 3.11, 4 Cd 3.25
Cd 0.2500 0.2500 0.2500  12 Li 3.11, 4 Cd 3.25

- Symmetry: Fd-3m, No. 227
- Size of the total moment: 0.77 μB per cell
- ΔE_f: -0.0907 eV/atom

Record 5
The following is a PBE-GGA calculation of LiCd3 after structural relaxation, from Alexandria via LeMat-Bulk.

a = 6.2004 Å, b = 6.2004 Å, c = 4.8419 Å
α = 90.00°, β = 90.00°, γ = 120.01°
Last column: nearest neighbours and their distance in Å.
Fractional coordinates of all 8 atoms:
Cd 0.1703 0.8297 0.7500  4 Li 2.99-3.10, 8 Cd 3.03-3.17
Cd 0.8297 0.1703 0.2500  4 Li 2.99-3.10, 8 Cd 3.03-3.17
Cd 0.6599 0.8301 0.7500  4 Li 2.99-3.10, 8 Cd 3.03-3.17
Cd 0.3401 0.1699 0.2500  4 Li 2.99-3.10, 8 Cd 3.03-3.17
Cd 0.8301 0.6599 0.2500  4 Li 2.99-3.10, 8 Cd 3.03-3.17
Cd 0.1699 0.3401 0.7500  4 Li 2.99-3.10, 8 Cd 3.03-3.17
Li 0.6664 0.3336 0.7500  12 Cd 2.99-3.10
Li 0.3336 0.6664 0.2500  12 Cd 2.99-3.10

- Symmetry: Cmcm, No. 63
- Size of the total moment: 0.00 μB per cell
- ΔE_f: -0.1858 eV/atom

Record 6
The following is a PBE-GGA calculation of Li3Cd after structural relaxation, from Alexandria via LeMat-Bulk.

a = 5.9136 Å, b = 5.9136 Å, c = 9.7960 Å
α = 90.00°, β = 90.00°, γ = 120.00°
Last column: nearest neighbours and their distance in Å.
Fractional coordinates of all 16 atoms:
Cd 0.0000 0.0000 0.0000  12 Li 2.96
Cd 0.0000 0.0000 0.5000  12 Li 2.96
Cd 0.3333 0.6667 0.2500  12 Li 2.96-2.99
Cd 0.6667 0.3333 0.7500  12 Li 2.96-2.99
Li 0.5000 0.0000 0.0000  4 Cd 2.96-2.99, 8 Li 2.96-3.00
Li 0.5000 0.0000 0.5000  4 Cd 2.96-2.99, 8 Li 2.96-3.00
Li 0.0000 0.5000 0.0000  8 Li 2.96-3.00, 4 Cd 2.96-2.99
Li 0.5000 0.5000 0.0000  8 Li 2.96-3.00, 4 Cd 2.96-2.99
Li 0.5000 0.5000 0.5000  8 Li 2.96-3.00, 4 Cd 2.96-2.99
Li 0.0000 0.5000 0.5000  8 Li 2.96-3.00, 4 Cd 2.96-2.99
Li 0.8369 0.6738 0.2500  8 Li 2.89-3.02, 4 Cd 2.96
Li 0.1631 0.3262 0.7500  8 Li 2.89-3.02, 4 Cd 2.96
Li 0.3262 0.1631 0.2500  8 Li 2.89-3.02, 4 Cd 2.96
Li 0.8369 0.1631 0.2500  8 Li 2.89-3.02, 4 Cd 2.96
Li 0.1631 0.8369 0.7500  8 Li 2.89-3.02, 4 Cd 2.96
Li 0.6738 0.8369 0.7500  8 Li 2.89-3.02, 4 Cd 2.96

- Symmetry: P6_3/mmc, No. 194
- Size of the total moment: 0.00 μB per cell
- ΔE_f: -0.1657 eV/atom

Record 7
The following is a PBE-GGA calculation of Li2Cd after structural relaxation, from Alexandria via LeMat-Bulk.

a = 4.5839 Å, b = 4.5839 Å, c = 3.2975 Å
α = 90.00°, β = 90.00°, γ = 90.00°
Last column: nearest neighbours and their distance in Å.
Fractional coordinates of all 3 atoms:
Cd 0.0000 0.0000 0.0000  8 Li 2.82
Li 0.0000 0.5000 0.5000  4 Cd 2.82
Li 0.5000 0.0000 0.5000  4 Cd 2.82

- Symmetry: P4/mmm, No. 123
- Size of the total moment: 0.00 μB per cell
- ΔE_f: -0.0325 eV/atom

Record 8
The following is a PBE-GGA calculation of Li3Cd after structural relaxation, from Alexandria via LeMat-Bulk.

a = 4.7753 Å, b = 5.7880 Å, c = 5.7880 Å
α = 113.61°, β = 90.00°, γ = 90.00°
Last column: nearest neighbours and their distance in Å.
Fractional coordinates of all 8 atoms:
Li 0.2500 0.8469 0.6337  5 Li 2.79-3.05, 4 Cd 2.85-2.95
Li 0.2500 0.3663 0.1531  5 Li 2.79-3.05, 4 Cd 2.85-2.95
Li 0.2500 0.3392 0.6608  8 Li 2.79-3.00, 2 Cd 3.11
Li 0.7500 0.1531 0.3663  5 Li 2.79-3.05, 4 Cd 2.85-2.95
Li 0.7500 0.6337 0.8469  5 Li 2.79-3.05, 4 Cd 2.85-2.95
Li 0.7500 0.6608 0.3392  8 Li 2.79-3.00, 2 Cd 3.11
Cd 0.7500 0.1331 0.8669  12 Li 2.85-3.18
Cd 0.2500 0.8669 0.1331  12 Li 2.85-3.18

- Symmetry: Cmcm, No. 63
- Size of the total moment: 0.00 μB per cell
- ΔE_f: -0.1661 eV/atom

Record 9
The following is a PBE-GGA calculation of LiCd3 after structural relaxation, from Alexandria via LeMat-Bulk.

a = 4.9022 Å, b = 5.1961 Å, c = 6.3485 Å
α = 90.00°, β = 90.00°, γ = 90.00°
Last column: nearest neighbours and their distance in Å.
Fractional coordinates of all 8 atoms:
Cd 0.5000 0.6704 0.0000  8 Cd 3.01-3.08, 4 Li 3.03-3.17
Cd 0.0000 0.3296 0.5000  8 Cd 3.01-3.08, 4 Li 3.03-3.17
Cd 0.0000 0.8220 0.2491  4 Li 3.01-3.07, 8 Cd 3.01-3.19
Cd 0.0000 0.8220 0.7509  4 Li 3.01-3.07, 8 Cd 3.01-3.19
Cd 0.5000 0.1780 0.7491  4 Li 3.01-3.07, 8 Cd 3.01-3.19
Cd 0.5000 0.1780 0.2509  4 Li 3.01-3.07, 8 Cd 3.01-3.19
Li 0.0000 0.3288 0.0000  12 Cd 3.01-3.17
Li 0.5000 0.6712 0.5000  12 Cd 3.01-3.17

- Symmetry: Pmmn, No. 59
- Size of the total moment: 0.00 μB per cell
- ΔE_f: -0.1818 eV/atom

Record 10
The following is a PBE-GGA calculation of LiCd2 after structural relaxation, from Alexandria via LeMat-Bulk.

a = 4.7506 Å, b = 5.8864 Å, c = 8.3753 Å
α = 90.00°, β = 90.00°, γ = 90.00°
Last column: nearest neighbours and their distance in Å.
Fractional coordinates of all 12 atoms:
Cd 0.2500 0.0031 0.7513  8 Cd 2.94-3.17, 6 Li 3.09-3.22
Cd 0.7500 0.4969 0.2513  8 Cd 2.94-3.17, 6 Li 3.09-3.22
Cd 0.2500 0.5031 0.7487  8 Cd 2.94-3.17, 6 Li 3.09-3.22
Cd 0.7500 0.9969 0.2487  8 Cd 2.94-3.17, 6 Li 3.09-3.22
Cd 0.2500 0.2437 0.4170  5 Li 2.76-2.95
Cd 0.7500 0.2563 0.9170  5 Li 2.76-2.95
Cd 0.2500 0.7437 0.0830  5 Li 2.76-2.95
Cd 0.7500 0.7563 0.5830  5 Li 2.76-2.95
Li 0.2500 0.7427 0.4130  7 Cd 2.76-3.09
Li 0.7500 0.7573 0.9130  7 Cd 2.76-3.09
Li 0.2500 0.2427 0.0870  7 Cd 2.76-3.09
Li 0.7500 0.2573 0.5870  7 Cd 2.76-3.09

- Symmetry: Pnma, No. 62
- Size of the total moment: 0.00 μB per cell
- ΔE_f: -0.1974 eV/atom